Entry 1:
DFT (meta-GGA SCAN) results for ZrCu3F at its PBEsol-relaxed geometry.

The density is 6.97 Mg/m³. As for the total energy: -15.74 eV/atom.

The space group is Pm-3m (No. 221) and the conventional cell measures 4.155, 4.155 and 4.155 Å, with angles of 90.00, 90.00 and 90.00 degrees. The asymmetric unit holds Zr at (0.000, 0.000, 0.000), Cu at (0.000, 0.500, 0.500) and F at (0.500, 0.500, 0.500).


Entry 2:
DFT (meta-GGA SCAN) results for Ba2SiMo at its PBEsol-relaxed geometry.

The density is 5.73 Mg/m³. As for the total energy: -30.25 eV/atom.

The space group is Pmmm (No. 47) and the conventional cell measures 3.686, 4.585 and 6.832 Å, with angles of 90.00, 90.00 and 90.00 degrees. The asymmetric unit holds Ba at (0.000, 0.000, 0.241), Si at (0.500, 0.500, 0.000) and Mo at (0.500, 0.500, 0.500).


Entry 3:
DFT (meta-GGA SCAN) results for TlTeS2 at its PBEsol-relaxed geometry.

The density is 6.24 Mg/m³. As for the total energy: -32.17 eV/atom.

The space group is R-3m (No. 166, hexagonal axes) and the conventional cell measures 3.8560, 3.8560 and 24.5483 Å, with angles of 90.00, 90.00 and 120.00 degrees. The asymmetric unit holds Tl at (0.0000, 0.0000, 0.0000), Te at (0.0000, 0.0000, 0.5000) and S at (0.0000, 0.0000, 0.3960).


Entry 4:
DFT (meta-GGA SCAN) results for V3O7 at its PBEsol-relaxed geometry.

The density is 3.85 Mg/m³. As for the total energy: -12.15 eV/atom.

The space group is I4/mmm (No. 139) and the conventional cell measures 13.817, 13.817 and 3.589 Å, with angles of 90.00, 90.00 and 90.00 degrees. The asymmetric unit holds V at (0.000, 0.000, 0.000), V at (0.000, 0.365, 0.000), V at (0.184, 0.184, 0.000), O at (0.000, 0.000, 0.500), O at (0.000, 0.406, 0.500), O at (0.094, 0.290, 0.000), O at (0.099, 0.099, 0.000) and O at (0.206, 0.206, 0.500).


Entry 5:
DFT (meta-GGA SCAN) results for Sc2TeAs at its PBEsol-relaxed geometry.

The density is 5.50 Mg/m³. As for the total energy: -22.93 eV/atom.

The space group is R-3m (No. 166, hexagonal axes) and the conventional cell measures 3.9295, 3.9295 and 19.8227 Å, with angles of 90.00, 90.00 and 120.00 degrees. The asymmetric unit holds Sc at (0.0000, 0.0000, 0.2383), Te at (0.0000, 0.0000, 0.0000) and As at (0.0000, 0.0000, 0.5000).


Entry 6:
DFT (meta-GGA SCAN) results for SrBe3Ir at its PBEsol-relaxed geometry.

The density is 6.13 Mg/m³. The calculation puts the energy of formation from the pure elements at -314 meV/atom. As for the total energy: -21.60 eV/atom.

The space group is Pm-3m (No. 221) and the conventional cell measures 4.363, 4.363 and 4.363 Å, with angles of 90.00, 90.00 and 90.00 degrees. The asymmetric unit holds Sr at (0.000, 0.000, 0.000), Be at (0.000, 0.500, 0.500) and Ir at (0.500, 0.500, 0.500).


Look up the density of the sixth one.
6.13 Mg/m³


Look up the density of the sixth one.
6.13 Mg/m³